No. 1
TbPmInSn | PBE | optimized geometry

The value obtained for the energy above the most stable polymorph in this dataset is 102.1 meV per atom. For the density of states at the Fermi level, the calculation gives 12.9 states/eV/cell. The total magnetic moment is 0.0 μB per cell. Its volume is 27.90 Å³/atom. The calculation puts the formation enthalpy at 0 K at -0.525 eV/atom.

The space group is F-43m (No. 216) and the conventional cell measures 7.643, 7.643 and 7.643 Å, with angles of 90.00, 90.00 and 90.00 degrees. The distinct sites, in fractional coordinates, are Tb at (0.000, 0.000, 0.000), Pm at (0.000, 0.000, 0.500), In at (0.250, 0.250, 0.750) and Sn at (0.250, 0.250, 0.250).

---

No. 2
CaNi2Se | PBE | optimized geometry

The total energy comes out at -17.2 eV/f.u. For the density of states at the Fermi level, the calculation gives 26.5 states/eV/cell. The total magnetic moment is 0.9 μB per cell. Its volume is 16.63 Å³/atom.

The space group is F-43m (No. 216) and the conventional cell measures 6.432, 6.432 and 6.432 Å, with angles of 90.00, 90.00 and 90.00 degrees. The distinct sites, in fractional coordinates, are Ca at (0.000, 0.000, 0.000), Ni at (0.000, 0.000, 0.500), Ni at (0.250, 0.250, 0.750) and Se at (0.250, 0.250, 0.250).

---

No. 3
PmHo2Sb | PBE | optimized geometry

The value obtained for the energy above the most stable polymorph in this dataset is 69.2 meV per atom. For the density of states at the Fermi level, the calculation gives 4.1 states/eV/cell. The total magnetic moment is 0.0 μB per cell. Its volume is 27.81 Å³/atom.

The space group is P4/mmm (No. 123) and the conventional cell measures 4.828, 4.828 and 4.771 Å, with angles of 90.00, 90.00 and 90.00 degrees. The distinct sites, in fractional coordinates, are Pm at (0.000, 0.000, 0.000), Ho at (0.000, 0.500, 0.500) and Sb at (0.500, 0.500, 0.000).

---

No. 4
Na2SnBiS4 | PBE | optimized geometry

The total energy comes out at -32.0 eV/f.u. For the density of states at the Fermi level, the calculation gives 6.8 states/eV/cell. The total magnetic moment is 0.0 μB per cell. Its volume is 30.32 Å³/atom.

The space group is Pmn2_1 (No. 31) and the conventional cell measures 9.502, 7.341 and 6.954 Å, with angles of 90.00, 90.00 and 90.00 degrees. The distinct sites, in fractional coordinates, are Na at (0.249, 0.179, 0.000), Sn at (0.000, 0.325, 0.505), Bi at (0.000, 0.682, 0.003), S at (0.000, 0.348, 0.872), S at (0.000, 0.652, 0.400) and S at (0.236, 0.193, 0.403).

---

No. 5
CaNbAu | PBE | optimized geometry

The value obtained for the energy above the most stable polymorph in this dataset is 1947.3 meV per atom. For the density of states at the Fermi level, the calculation gives 7.2 states/eV/cell. The total magnetic moment is 8.5 μB per cell. Its volume is 39.43 Å³/atom. The calculation puts the formation enthalpy at 0 K at 1.709 eV/atom.

The space group is P6_3/mmc (No. 194) and the conventional cell measures 4.7253, 4.7253 and 12.2332 Å, with angles of 90.00, 90.00 and 120.00 degrees. The distinct sites, in fractional coordinates, are Ca at (0.0000, 0.0000, 0.2500), Nb at (0.0000, 0.0000, 0.0000) and Au at (0.3333, 0.6667, 0.2500).

---

No. 6
LaEuCuPt | PBE | optimized geometry

For the density of states at the Fermi level, the calculation gives 26.5 states/eV/cell. The total magnetic moment is 28.5 μB per cell. Its volume is 23.92 Å³/atom. The calculation puts the formation enthalpy at 0 K at -0.595 eV/atom.

The space group is F-43m (No. 216) and the conventional cell measures 7.261, 7.261 and 7.261 Å, with angles of 90.00, 90.00 and 90.00 degrees. The distinct sites, in fractional coordinates, are La at (0.000, 0.000, 0.000), Eu at (0.000, 0.000, 0.500), Cu at (0.250, 0.250, 0.250) and Pt at (0.250, 0.250, 0.750).

---

No. 7
Ni2AgRh | PBE | optimized geometry

For the density of states at the Fermi level, the calculation gives 13.0 states/eV/cell. The total magnetic moment is 3.5 μB per cell. Its volume is 13.51 Å³/atom. The calculation puts the formation enthalpy at 0 K at 0.214 eV/atom.

The space group is Cmmm (No. 65) and the conventional cell measures 5.502, 7.274 and 2.700 Å, with angles of 90.00, 90.00 and 90.00 degrees. The distinct sites, in fractional coordinates, are Ni at (0.250, 0.250, 0.000), Ag at (0.000, 0.000, 0.500) and Rh at (0.000, 0.500, 0.500).

---

No. 8
AlOsRuW2 | PBE | optimized geometry

For the density of states at the Fermi level, the calculation gives 4.5 states/eV/cell. The total magnetic moment is 0.0 μB per cell. Its volume is 17.25 Å³/atom. The calculation puts the formation enthalpy at 0 K at 1.805 eV/atom.

The space group is P4/mmm (No. 123) and the conventional cell measures 4.471, 4.471 and 4.316 Å, with angles of 90.00, 90.00 and 90.00 degrees. The distinct sites, in fractional coordinates, are Al at (0.000, 0.000, 0.000), Os at (0.000, 0.000, 0.500), Ru at (0.500, 0.500, 0.500) and W at (0.000, 0.500, 0.000).

---

No. 9
Pu2Be4Si3Pd | PBE | optimized geometry

The total energy comes out at -68.8 eV/f.u. For the density of states at the Fermi level, the calculation gives 18.1 states/eV/cell. The total magnetic moment is 10.7 μB per cell. Its volume is 14.58 Å³/atom.

The space group is P-4m2 (No. 115) and the conventional cell measures 3.888, 3.888 and 9.646 Å, with angles of 90.00, 90.00 and 90.00 degrees. The distinct sites, in fractional coordinates, are Pu at (0.000, 0.500, 0.241), Be at (0.000, 0.000, 0.000), Be at (0.000, 0.500, 0.634), Be at (0.500, 0.500, 0.000), Si at (0.000, 0.500, 0.869), Si at (0.500, 0.500, 0.500) and Pd at (0.000, 0.000, 0.500).

---

No. 10
Cs2GaPt | PBE | optimized geometry

The value obtained for the energy above the most stable polymorph in this dataset is 8.4 meV per atom. For the density of states at the Fermi level, the calculation gives 5.1 states/eV/cell. The total magnetic moment is 0.0 μB per cell. Its volume is 45.67 Å³/atom. The calculation puts the formation enthalpy at 0 K at -0.197 eV/atom.

The space group is Cm (No. 8) and the conventional cell measures 7.626, 4.398 and 10.934 Å, with angles of 90.00, 94.83 and 90.00 degrees. The distinct sites, in fractional coordinates, are Cs at (0.000, 0.000, 0.000), Cs at (0.229, 0.500, 0.533), Ga at (0.365, 0.000, 0.280) and Pt at (0.034, 0.000, 0.299).

---

No. 11
BaLi2In4Au | PBE | optimized geometry

For the density of states at the Fermi level, the calculation gives 8.8 states/eV/cell. The total magnetic moment is 0.0 μB per cell. Its volume is 25.55 Å³/atom. The calculation puts the formation enthalpy at 0 K at -0.341 eV/atom.

The space group is R-3m (No. 166, hexagonal axes) and the conventional cell measures 4.7520, 4.7520 and 31.3547 Å, with angles of 90.00, 90.00 and 120.00 degrees. The distinct sites, in fractional coordinates, are Ba at (0.0000, 0.0000, 0.0000), Li at (0.0000, 0.0000, 0.2207), In at (0.0000, 0.0000, 0.1255), In at (0.0000, 0.0000, 0.4071) and Au at (0.0000, 0.0000, 0.5000).

---

No. 12
V2CdAs2 | PBE | optimized geometry

The value obtained for the energy above the most stable polymorph in this dataset is 0.0 meV per atom. For the density of states at the Fermi level, the calculation gives 6.8 states/eV/cell. The total magnetic moment is 0.0 μB per cell. Its volume is 16.29 Å³/atom. The calculation puts the formation enthalpy at 0 K at -0.146 eV/atom.

The space group is P4/mbm (No. 127) and the conventional cell measures 7.116, 7.116 and 3.217 Å, with angles of 90.00, 90.00 and 90.00 degrees. The distinct sites, in fractional coordinates, are V at (0.134, 0.366, 0.000), Cd at (0.000, 0.000, 0.000) and As at (0.152, 0.652, 0.500).

---

No. 13
KTeCN2 | PBE | optimized geometry

The value obtained for the energy above the most stable polymorph in this dataset is 0.0 meV per atom. For the density of states at the Fermi level, the calculation gives 3.5 states/eV/cell. The total magnetic moment is 4.0 μB per cell. Its volume is 18.36 Å³/atom.

The space group is P4/mmm (No. 123) and the conventional cell measures 4.500, 4.500 and 4.532 Å, with angles of 90.00, 90.00 and 90.00 degrees. The distinct sites, in fractional coordinates, are K at (0.000, 0.000, 0.000), Te at (0.500, 0.500, 0.000), C at (0.500, 0.500, 0.500) and N at (0.000, 0.500, 0.500).

---

No. 14
Pm3Ge2F2 | PBE | optimized geometry

The total energy comes out at -41.2 eV/f.u. For the density of states at the Fermi level, the calculation gives 5.8 states/eV/cell. The total magnetic moment is 0.0 μB per cell. Its volume is 21.38 Å³/atom.

The space group is C2/m (No. 12) and the conventional cell measures 11.651, 4.156 and 6.881 Å, with angles of 90.00, 116.03 and 90.00 degrees. The distinct sites, in fractional coordinates, are Pm at (0.000, 0.000, 0.000), Pm at (0.185, 0.000, 0.695), Ge at (0.045, 0.500, 0.344) and F at (0.215, 0.000, 0.081).

---

No. 15
Cs4MnAg3Br12 | PBE | optimized geometry

The total energy comes out at -61.4 eV/f.u. For the density of states at the Fermi level, the calculation gives 7.4 states/eV/cell. The total magnetic moment is 6.1 μB per cell. Its volume is 33.13 Å³/atom.

The space group is Im-3m (No. 229) and the conventional cell measures 10.984, 10.984 and 10.984 Å, with angles of 90.00, 90.00 and 90.00 degrees. The distinct sites, in fractional coordinates, are Cs at (0.250, 0.250, 0.250), Mn at (0.000, 0.000, 0.000), Ag at (0.000, 0.000, 0.500), Br at (0.000, 0.000, 0.227) and Br at (0.000, 0.250, 0.500).

---

No. 16
Y3AgHg2 | PBE | optimized geometry

The value obtained for the energy above the most stable polymorph in this dataset is 5.9 meV per atom. For the density of states at the Fermi level, the calculation gives 4.9 states/eV/cell. The total magnetic moment is 0.0 μB per cell. Its volume is 25.34 Å³/atom. The calculation puts the formation enthalpy at 0 K at -0.449 eV/atom.

The space group is P4/mmm (No. 123) and the conventional cell measures 3.706, 3.706 and 11.072 Å, with angles of 90.00, 90.00 and 90.00 degrees. The distinct sites, in fractional coordinates, are Y at (0.000, 0.000, 0.000), Y at (0.000, 0.000, 0.338), Ag at (0.500, 0.500, 0.500) and Hg at (0.500, 0.500, 0.168).

---

No. 17
ZrAlGe2 | PBE | optimized geometry

For the density of states at the Fermi level, the calculation gives 14.3 states/eV/cell. The total magnetic moment is 0.0 μB per cell. Its volume is 19.26 Å³/atom. The calculation puts the formation enthalpy at 0 K at -0.091 eV/atom.

The space group is I-42d (No. 122) and the conventional cell measures 7.323, 7.323 and 5.747 Å, with angles of 90.00, 90.00 and 90.00 degrees. The distinct sites, in fractional coordinates, are Zr at (0.000, 0.000, 0.000), Al at (0.000, 0.000, 0.500) and Ge at (0.227, 0.250, 0.625).

---

No. 18
DyZnSb2 | PBE | optimized geometry

The total energy comes out at -15.3 eV/f.u. For the density of states at the Fermi level, the calculation gives 7.2 states/eV/cell. The total magnetic moment is 0.0 μB per cell. Its volume is 27.00 Å³/atom.

The space group is R-3m (No. 166, hexagonal axes) and the conventional cell measures 4.2446, 4.2446 and 20.7626 Å, with angles of 90.00, 90.00 and 120.00 degrees. The distinct sites, in fractional coordinates, are Dy at (0.0000, 0.0000, 0.0000), Zn at (0.0000, 0.0000, 0.5000) and Sb at (0.0000, 0.0000, 0.2411).

---

No. 19
Rb2TlInPb6 | PBE | optimized geometry

For the density of states at the Fermi level, the calculation gives 37.6 states/eV/cell. The total magnetic moment is 0.0 μB per cell. Its volume is 40.75 Å³/atom. The calculation puts the formation enthalpy at 0 K at 0.087 eV/atom.

The space group is R-3m (No. 166, hexagonal axes) and the conventional cell measures 7.7179, 7.7179 and 47.3921 Å, with angles of 90.00, 90.00 and 120.00 degrees. The distinct sites, in fractional coordinates, are Rb at (0.0000, 0.0000, 0.1259), Rb at (0.0000, 0.0000, 0.3097), Tl at (0.0000, 0.0000, 0.4239), In at (0.0000, 0.0000, 0.0000), In at (0.0000, 0.0000, 0.5000), Pb at (0.0550, 0.5275, 0.7188) and Pb at (0.0564, 0.5282, 0.8692).

---

No. 20
Ir2Os3 | PBE | optimized geometry

The value obtained for the energy above the most stable polymorph in this dataset is 616.1 meV per atom. For the density of states at the Fermi level, the calculation gives 5.8 states/eV/cell. The total magnetic moment is 0.0 μB per cell. Its volume is 16.45 Å³/atom. The calculation puts the formation enthalpy at 0 K at 0.836 eV/atom.

The space group is P-3m1 (No. 164) and the conventional cell measures 4.2114, 4.2114 and 5.3562 Å, with angles of 90.00, 90.00 and 120.00 degrees. The distinct sites, in fractional coordinates, are Ir at (0.3333, 0.6667, 0.3745), Os at (0.0000, 0.0000, 0.5000) and Os at (0.3333, 0.6667, 0.8957).